Here is a geometry-optimized AcCdO3 structure from the Open Quantum Materials Database. Energies are from PBE.

## Properties
**Total magnetic moment**: 0.6 μB per formula unit
**Calculated total energy**: -5.505 eV/atom

Lattice parameters (Å, degrees): 4.543 4.543 4.692 90.00 90.00 90.00
Sites, in units of the cell vectors:
Ac 0.000 0.000 0.000
Cd 0.500 0.500 0.286
O 0.000 0.000 0.521
O 0.000 0.500 0.146
O 0.500 0.000 0.146



Here is a geometry-optimized LiCoCuTe2S structure from the Open Quantum Materials Database. Energies are from PBE.

## Properties
**Total magnetic moment**: 0.0 μB per formula unit
**Calculated total energy**: -4.073 eV/atom

Lattice parameters (Å, degrees): 6.661 6.661 9.624 90.00 90.00 147.84
Sites, in units of the cell vectors:
Li 0.232 0.768 0.750
Li 0.768 0.232 0.250
Co 0.500 0.500 0.000
Co 0.500 0.500 0.500
Cu 0.036 0.964 0.250
Cu 0.964 0.036 0.750
Te 0.142 0.858 0.028
Te 0.142 0.858 0.472
Te 0.858 0.142 0.528
Te 0.858 0.142 0.972
S 0.435 0.565 0.250
S 0.565 0.435 0.750



Here is a geometry-optimized Fe3S structure from the Open Quantum Materials Database. Energies are from PBE.

## Properties
**Total magnetic moment**: 6.4 μB per formula unit
**Calculated total energy**: -7.051 eV/atom

Lattice parameters (Å, degrees): 4.002 4.002 4.002 60.00 60.00 60.00
Sites, in units of the cell vectors:
Fe 0.000 0.000 0.000
Fe 0.250 0.250 0.250
Fe 0.750 0.750 0.750
S 0.500 0.500 0.500



calculated total energy of number 1 (AcCdO3)? -5.505 eV/atom



Among the records above, which one has the highest total magnetic moment? Fe3S



Number 3 is which compound? Fe3S



The highest total magnetic moment belongs to which entry? Fe3S